(1)
Compound: La5Pr4Ho
Source: Alexandria
Functional: PBE
Structure: optimized geometry

Geometry as extended XYZ:
```
20
Lattice="-1.393 -4.499 -7.158 -5.726 -2.893 2.932 -6.938 9.225 -4.448" Properties=species:S:1:pos:R:3 pbc="T T T"
La -10.732 4.020 -4.305
La -7.896 5.453 -5.758
La -3.001 -1.892 0.757
La -5.818 -2.513 -1.155
La -2.983 -1.081 -2.607
La -7.633 -1.712 -3.828
La -4.742 -0.252 -5.308
La -4.724 0.559 -8.672
La -6.766 2.439 -6.606
La -9.657 0.979 -5.125
Pr -5.182 6.780 -3.431
Pr -5.336 -5.532 -3.149
Pr -2.472 -4.085 -4.616
Pr -1.804 2.289 -1.266
Pr -5.921 -3.621 -6.650
Pr -8.115 1.306 -1.833
Pr -5.253 2.752 -3.299
Pr -9.481 1.113 -8.932
Ho -0.137 -0.443 -0.705
Ho -7.588 -0.889 -7.210
```

crystal system: orthorhombic
energy relative to the elements: 232 kJ/mol of formula units
space group: Pmmn, No. 59

=====

(2)
Compound: LaPr4Ho3
Source: Alexandria
Functional: PBE
Structure: optimized geometry

Geometry as extended XYZ:
```
8
Lattice="3.391 0.000 -0.962 -0.964 11.297 -3.397 0.508 -3.674 8.245" Properties=species:S:1:pos:R:3 pbc="T T T"
Pr 1.023 4.262 3.603
Pr 1.912 3.361 0.282
Pr 1.432 8.993 -1.410
Pr 1.503 -1.370 5.296
Ho -0.482 5.649 -1.699
Ho 0.826 0.947 2.911
Ho 2.108 6.676 0.975
La 1.695 0.000 -0.481
```

crystal system: orthorhombic
energy relative to the elements: 99 kJ/mol of formula units
space group: Immm, No. 71

=====

Which value of energy relative to the elements does entry 2 give? 99 kJ/mol of formula units